{"formula": "CsHfW2I", "functional": "PBE", "state": "optimized geometry", "total_magnetization_mub_per_fu": 2.29, "formation_energy_uncorrected_mev_per_atom": 2003, "cell": [[-2.3303, -4.4239, -0.0416], [1.2296, -0.5763, -7.6061], [4.3520, -2.3006, 0.8779]], "species": ["W", "I", "Cs", "W", "Hf"], "frac_coords": [[0.5000, 0.0000, 0.0000], [0.5000, 0.5000, 0.5000], [0.0000, 0.5000, 0.0000], [0.0000, 0.0000, 0.5000], [0.0000, 0.0000, 0.0000]]}

{"formula": "ReMoPt2", "functional": "PBE", "state": "optimized geometry", "de_polymorph_mev_per_atom": 273, "total_magnetization_mub_per_fu": 0.00, "delta_e_f_mev_per_atom": 118, "cell": [[4.8292, 0.0000, 0.0000], [0.0000, 4.8292, 0.0000], [0.0000, 0.0000, 2.6954]], "species": ["Re", "Pt", "Pt", "Mo"], "frac_coords": [[0.5000, 0.0000, 0.5000], [0.5000, 0.5000, 0.0000], [0.0000, 0.0000, 0.0000], [0.0000, 0.5000, 0.5000]]}

{"formula": "LiSn2Ir", "functional": "PBE", "state": "optimized geometry", "total_magnetization_mub_per_fu": 0.00, "delta_e_f_mev_per_atom": -33, "cell": [[-3.0102, -6.9564, -4.2507], [1.0505, -4.8245, 7.1514], [-3.3567, -5.3132, 2.1889]], "species": ["Sn", "Li", "Sn", "Sn", "Ir", "Ir", "Li", "Sn"], "frac_coords": [[0.7239, 0.1250, 0.2500], [0.5000, 0.5000, 0.0000], [0.0261, 0.6250, 0.2500], [0.3750, 0.2761, 0.7500], [0.7500, 0.2500, 0.5000], [0.0000, 0.0000, 0.0000], [0.2500, 0.7500, 0.5000], [0.8750, 0.9739, 0.7500]]}

{"formula": "Sm2Dy2Ho", "functional": "PBE", "state": "optimized geometry", "de_polymorph_mev_per_atom": 118, "total_magnetization_mub_per_fu": 0.00, "delta_e_f_mev_per_atom": 135, "cell": [[-0.5848, -5.6070, -0.8254], [2.4410, -0.6371, 2.5986], [-12.5223, 2.7419, 9.9109]], "species": ["Dy", "Dy", "Dy", "Sm", "Dy", "Ho", "Ho", "Sm", "Sm", "Sm"], "frac_coords": [[0.4584, 0.7084, 0.9168], [0.9450, 0.1950, 0.8900], [0.0550, 0.8050, 0.1100], [0.2721, 0.0221, 0.5442], [0.5416, 0.2916, 0.0832], [0.1703, 0.4203, 0.3405], [0.8297, 0.5797, 0.6595], [0.6291, 0.8791, 0.2581], [0.7279, 0.9779, 0.4558], [0.3709, 0.1209, 0.7419]]}

{"formula": "Li2VIr", "functional": "PBE", "state": "optimized geometry", "de_polymorph_mev_per_atom": 26, "total_magnetization_mub_per_fu": 0.02, "delta_e_f_mev_per_atom": 153, "cell": [[2.6297, 0.0000, 0.0000], [1.3148, 2.2774, 0.0000], [1.3148, 0.7591, 9.7206]], "species": ["V", "Li", "Ir", "Li"], "frac_coords": [[0.0000, 0.0000, 0.0000], [0.9084, 0.9084, 0.2749], [0.5000, 0.5000, 0.5000], [0.0916, 0.0916, 0.7251]]}

{"formula": "GaFe2Ge2", "functional": "PBE", "state": "optimized geometry", "de_polymorph_mev_per_atom": 152, "total_magnetization_mub_per_fu": 0.66, "delta_e_f_mev_per_atom": 192, "cell": [[-1.5555, 2.6277, 1.8009], [-2.0545, -2.3592, 1.6677], [2.1085, -0.3671, 5.8461]], "species": ["Ge", "Fe", "Ga", "Ge", "Fe"], "frac_coords": [[0.2500, 0.7500, 0.5000], [0.6050, 0.6050, 0.7900], [0.0000, 0.0000, 0.0000], [0.7500, 0.2500, 0.5000], [0.3950, 0.3950, 0.2100]]}